[1]
A plane-wave DFT calculation with PBE was carried out for a relaxed PuReTcMo crystal.

Output
Formation energy from the elements = 0.1761 eV/atom
DOS(E_F) = 1.5835 states/eV per atom

Cell lengths 4.565, 4.565, 4.565 Å; angles 60.00, 60.00, 60.00 degrees
Sites, in units of the cell vectors:
1 Mo 0.750 0.750 0.750
2 Pu 0.000 0.000 0.000
3 Tc 0.250 0.250 0.250
4 Re 0.500 0.500 0.500

=====

[2]
A plane-wave DFT calculation with PBE was carried out for a relaxed BaGeAsBr2 crystal.

Output
ΔE_f (raw) = -15 meV/atom
Energy relative to the lowest polymorph listed for this composition = 729 meV per atom
DOS(E_F) = 1.0163 states/eV per atom

Cell lengths 6.123, 6.123, 6.642 Å; angles 90.00, 90.00, 90.00 degrees
Sites, in units of the cell vectors:
1 Ba 0.000 0.000 0.000
2 Br 0.000 0.500 0.000
3 Br 0.500 0.000 0.000
4 As 0.000 0.000 0.500
5 Ge 0.500 0.500 0.500

=====

[3]
A plane-wave DFT calculation with PBE was carried out for a relaxed Ba2Ag17 crystal.

Output
Formation energy from the elements = -0.0878 eV/atom
DOS(E_F) = 0.2308 states/eV per atom

Cell lengths 7.470, 7.470, 7.470 Å; angles 82.62, 82.62, 82.62 degrees
Sites, in units of the cell vectors:
1 Ag 0.903 0.903 0.903
2 Ag 0.656 0.656 0.152
3 Ag 0.000 0.000 0.500
4 Ag 0.707 0.000 0.293
5 Ag 0.097 0.097 0.097
6 Ag 0.152 0.656 0.656
7 Ag 0.344 0.344 0.848
8 Ag 0.848 0.344 0.344
9 Ag 0.500 0.000 0.000
10 Ag 0.000 0.500 0.000
11 Ag 0.000 0.707 0.293
12 Ag 0.293 0.707 0.000
13 Ag 0.344 0.848 0.344
14 Ag 0.656 0.152 0.656
15 Ag 0.000 0.293 0.707
16 Ag 0.293 0.000 0.707
17 Ag 0.707 0.293 0.000
18 Ba 0.341 0.341 0.341
19 Ba 0.659 0.659 0.659

=====

[4]
A plane-wave DFT calculation with PBE was carried out for a relaxed Pm3NdEr2S6 crystal.

Output
ΔE_f (raw) = -2009 meV/atom
DOS(E_F) = 0.4184 states/eV per atom

Cell lengths 6.895, 6.895, 6.919 Å; angles 99.54, 99.54, 120.15 degrees
Sites, in units of the cell vectors:
1 S 0.266 0.266 0.763
2 S 0.425 0.080 0.242
3 S 0.080 0.425 0.242
4 S 0.575 0.920 0.758
5 S 0.920 0.575 0.758
6 S 0.734 0.734 0.237
7 Er 0.334 0.666 0.000
8 Er 0.666 0.334 0.000
9 Pm 0.161 0.839 0.500
10 Pm 0.839 0.161 0.500
11 Pm 0.500 0.500 0.500
12 Nd 0.000 0.000 0.000

=====

[5]
A plane-wave DFT calculation with PBE was carried out for a relaxed PuSc2Al crystal.

Output
Formation energy from the elements = -0.1778 eV/atom
Energy relative to the lowest polymorph listed for this composition = 0 meV per atom
DOS(E_F) = 1.9276 states/eV per atom

Cell lengths 5.091, 6.451, 6.451 Å; angles 122.93, 90.00, 90.00 degrees
Sites, in units of the cell vectors:
1 Pu 0.500 0.660 0.820
2 Pu 0.500 0.180 0.340
3 Al 0.000 0.326 0.674
4 Al 0.500 0.669 0.331
5 Sc 0.000 0.336 0.174
6 Sc 0.000 0.822 0.178
7 Sc 0.500 0.181 0.819
8 Sc 0.000 0.826 0.664

=====

[6]
A plane-wave DFT calculation with PBE was carried out for a relaxed Tl2Co crystal.

Output
Formation energy from the elements = 1.0653 eV/atom
DOS(E_F) = 2.1883 states/eV per atom

Cell lengths 6.142, 6.142, 10.386 Å; angles 90.00, 90.00, 120.00 degrees
Sites, in units of the cell vectors:
1 Tl 0.340 0.170 0.250
2 Tl 0.170 0.830 0.750
3 Tl 0.830 0.660 0.250
4 Tl 0.830 0.170 0.250
5 Tl 0.000 0.000 0.500
6 Tl 0.170 0.340 0.750
7 Tl 0.000 0.000 0.000
8 Tl 0.660 0.830 0.750
9 Co 0.333 0.667 0.962
10 Co 0.333 0.667 0.538
11 Co 0.667 0.333 0.038
12 Co 0.667 0.333 0.462

=====

> What is the formula in the fourth record?

Pm3NdEr2S6

=====

> The lowest DOS(E_F) belongs to which entry?

Ba2Ag17